[1]
{"formula": "BeAlFeAu", "functional": "PBE-GGA", "state": "optimized geometry", "dft_energy_ry_per_atom": -0.3614, "lattice_angstrom": [[4.124, 0.000, 0.000], [2.062, 3.571, 0.000], [2.062, 1.190, 3.367]], "species": ["Be", "Au", "Fe", "Al"], "fractional_positions": [[0.250, 0.250, 0.250], [0.000, 0.000, 0.000], [0.500, 0.500, 0.500], [0.750, 0.750, 0.750]]}

=====

[2]
{"formula": "Cs2K2PdO4", "functional": "PBE-GGA", "state": "optimized geometry", "raw_formation_energy_mev_per_atom": -813, "lattice_angstrom": [[-6.081, 0.260, -1.751], [3.675, -4.409, -2.678], [1.313, -1.915, 5.892]], "species": ["Cs", "Cs", "K", "K", "Pd", "O", "O", "O", "O"], "fractional_positions": [[0.500, 0.750, 0.250], [0.500, 0.250, 0.750], [0.000, 0.658, 0.658], [0.000, 0.342, 0.342], [0.000, 0.000, 0.000], [0.000, 0.783, 0.217], [0.566, 0.783, 0.783], [0.000, 0.217, 0.783], [0.434, 0.217, 0.217]]}

=====

[3]
{"formula": "Mg2MoRh", "functional": "PBE-GGA", "state": "optimized geometry", "relative_energy_ev_per_atom": 0.2293, "lattice_angstrom": [[-0.067, -0.883, -2.846], [4.567, -1.195, 0.263], [-1.201, -4.292, 1.359]], "species": ["Mg", "Mg", "Mo", "Rh"], "fractional_positions": [[0.000, 0.000, 0.000], [0.500, 0.500, 0.000], [0.500, 0.000, 0.500], [0.000, 0.500, 0.500]]}

=====

[4]
{"formula": "TbNd4Co4", "functional": "PBE-GGA", "state": "optimized geometry", "dft_energy_ry_per_atom": -0.4238, "lattice_angstrom": [[5.800, 0.000, 0.000], [0.000, 8.542, 0.000], [0.000, 0.000, 8.542]], "species": ["Tb", "Tb", "Nd", "Nd", "Nd", "Nd", "Nd", "Nd", "Nd", "Nd", "Co", "Co", "Co", "Co", "Co", "Co", "Co", "Co"], "fractional_positions": [[0.000, 0.000, 0.000], [0.500, 0.500, 0.500], [0.379, 0.305, 0.927], [0.879, 0.573, 0.805], [0.379, 0.695, 0.073], [0.121, 0.195, 0.573], [0.621, 0.927, 0.695], [0.121, 0.805, 0.427], [0.879, 0.427, 0.195], [0.621, 0.073, 0.305], [0.645, 0.760, 0.363], [0.645, 0.240, 0.637], [0.145, 0.863, 0.740], [0.855, 0.260, 0.863], [0.855, 0.740, 0.137], [0.355, 0.363, 0.240], [0.355, 0.637, 0.760], [0.145, 0.137, 0.260]]}

=====

[5]
{"formula": "Li2Zn6Co", "functional": "PBE-GGA", "state": "optimized geometry", "relative_energy_ev_per_atom": 0.0000, "lattice_angstrom": [[2.646, 0.000, 0.000], [0.000, 6.473, 3.722], [-0.001, 0.013, 7.467]], "species": ["Li", "Li", "Zn", "Zn", "Zn", "Zn", "Zn", "Zn", "Co"], "fractional_positions": [[0.000, 0.333, 0.333], [0.000, 0.667, 0.667], [0.499, 0.671, 0.000], [0.501, 0.000, 0.329], [0.501, 0.329, 0.000], [0.500, 0.671, 0.329], [0.499, 0.000, 0.671], [0.500, 0.329, 0.671], [0.000, 0.000, 0.000]]}

=====

[6]
{"formula": "Pa2Ge2PtN2", "functional": "PBE-GGA", "state": "optimized geometry", "raw_formation_energy_mev_per_atom": -543, "lattice_angstrom": [[3.709, 0.000, 0.000], [-1.855, 3.212, 0.000], [0.000, 0.000, 12.537]], "species": ["Pa", "Pa", "Ge", "Ge", "Pt", "N", "N"], "fractional_positions": [[0.667, 0.333, 0.380], [0.333, 0.667, 0.620], [0.000, 0.000, 0.810], [0.000, 0.000, 0.190], [0.000, 0.000, 0.000], [0.667, 0.333, 0.568], [0.333, 0.667, 0.432]]}

=====

[7]
{"formula": "MnAg2Pt", "functional": "PBE-GGA", "state": "optimized geometry", "relative_energy_ev_per_atom": 0.1892, "lattice_angstrom": [[-1.986, -7.578, -5.366], [-1.639, -8.898, -2.882], [-4.152, -7.768, -3.547]], "species": ["Ag", "Ag", "Mn", "Pt"], "fractional_positions": [[0.998, 0.998, 0.998], [0.502, 0.502, 0.502], [0.250, 0.250, 0.250], [0.750, 0.750, 0.750]]}

=====

[8]
{"formula": "Li2Zn2GaCu2", "functional": "PBE-GGA", "state": "optimized geometry", "dft_energy_ry_per_atom": -0.1962, "lattice_angstrom": [[4.282, 0.000, 0.000], [-2.141, 3.621, -0.587], [0.000, -1.581, 6.368]], "species": ["Li", "Li", "Zn", "Zn", "Ga", "Cu", "Cu"], "fractional_positions": [[0.721, 0.442, 0.659], [0.279, 0.558, 0.341], [0.433, 0.866, 0.791], [0.567, 0.134, 0.209], [0.000, 0.000, 0.500], [0.859, 0.719, 0.083], [0.141, 0.281, 0.917]]}

=====

[9]
{"formula": "In2ReAu", "functional": "PBE-GGA", "state": "optimized geometry", "relative_energy_ev_per_atom": 0.1141, "lattice_angstrom": [[-8.174, 0.541, 4.805], [-9.296, 0.097, 1.940], [-8.441, -2.340, 3.669]], "species": ["Au", "In", "In", "Re"], "fractional_positions": [[0.754, 0.754, 0.754], [0.005, 0.005, 0.005], [0.244, 0.244, 0.244], [0.497, 0.497, 0.497]]}

=====

[10]
{"formula": "Ca2CuSCl", "functional": "PBE-GGA", "state": "optimized geometry", "raw_formation_energy_mev_per_atom": -563, "lattice_angstrom": [[5.431, 0.000, 0.000], [0.000, 4.377, 0.000], [0.000, 0.000, 5.431]], "species": ["Ca", "Ca", "S", "Cu", "Cl"], "fractional_positions": [[0.000, 0.000, 0.500], [0.500, 0.000, 0.000], [0.500, 0.500, 0.500], [0.000, 0.000, 0.000], [0.000, 0.500, 0.000]]}

=====

[11]
{"formula": "YZr2As", "functional": "PBE-GGA", "state": "optimized geometry", "dft_energy_ry_per_atom": -0.5407, "lattice_angstrom": [[5.821, -0.017, -0.091], [2.681, 5.166, 0.091], [-3.949, -3.074, 2.975]], "species": ["Y", "As", "Zr", "Zr"], "fractional_positions": [[0.270, 0.770, 0.500], [0.512, 0.512, 0.000], [0.001, 0.001, 0.000], [0.717, 0.217, 0.500]]}

=====

[12]
{"formula": "NdSmEr14", "functional": "PBE-GGA", "state": "optimized geometry", "dft_energy_ry_per_atom": -0.3363, "lattice_angstrom": [[-4.520, 1.978, 5.075], [0.339, -6.790, -1.968], [8.015, -1.881, 7.871]], "species": ["Nd", "Sm", "Er", "Er", "Er", "Er", "Er", "Er", "Er", "Er", "Er", "Er", "Er", "Er", "Er", "Er"], "fractional_positions": [[0.708, 0.292, 0.500], [0.208, 0.792, 0.500], [0.042, 0.958, 0.000], [0.542, 0.458, 0.000], [0.208, 0.292, 0.500], [0.042, 0.458, 0.000], [0.708, 0.792, 0.500], [0.542, 0.958, 0.000], [0.375, 0.125, 0.754], [0.375, 0.125, 0.246], [0.875, 0.625, 0.754], [0.875, 0.625, 0.246], [0.375, 0.625, 0.752], [0.375, 0.625, 0.248], [0.875, 0.125, 0.752], [0.875, 0.125, 0.248]]}